# 1
# RbTl3Tc2O6 | OQMD | PBE | optimized geometry
# **Density**: 6.3 g/cm3
# **Raw total energy**: -5.85 eV per atom
data_RbTl3Tc2O6
_space_group_name_H-M_alt 'P -3 m 1'
_space_group_IT_number 164
_space_group_name_Hall '-P 3 2"'
_cell_length_a 6.4742
_cell_length_b 6.4742
_cell_length_c 7.2184
_cell_angle_alpha 90.00
_cell_angle_beta 90.00
_cell_angle_gamma 120.00
loop_
_atom_site_label
_atom_site_type_symbol
_atom_site_fract_x
_atom_site_fract_y
_atom_site_fract_z
_atom_site_occupancy
Rb1 Rb 0.0000 0.0000 0.0000 1
Tl1 Tl 0.0000 0.0000 0.5000 1
Tl2 Tl 0.3333 0.6667 0.2691 1
Tc1 Tc 0.3333 0.6667 0.7110 1
O1 O 0.1757 0.3515 0.7383 1

***

# 2
# BaCdSn2Hg | OQMD | PBE | optimized geometry
# **Density**: 7.6 g/cm3
# **Raw total energy**: -2.62 eV per atom
data_BaCdSn2Hg
_space_group_name_H-M_alt 'P 4/n m m'
_space_group_IT_number 129
_cell_length_a 5.0284
_cell_length_b 5.0284
_cell_length_c 11.9555
_cell_angle_alpha 90.00
_cell_angle_beta 90.00
_cell_angle_gamma 90.00
loop_
_space_group_symop_operation_xyz
'x,y,z'
'-x,-y,-z'
'-y+1/2,x,z'
'y+1/2,-x,-z'
'-x+1/2,-y+1/2,z'
'x+1/2,y+1/2,-z'
'y,-x+1/2,z'
'-y,x+1/2,-z'
'x+1/2,-y,-z'
'-x+1/2,y,z'
'-y,-x,-z'
'y,x,z'
'-x,y+1/2,-z'
'x,-y+1/2,z'
'y+1/2,x+1/2,-z'
'-y+1/2,-x+1/2,z'
loop_
_atom_site_label
_atom_site_type_symbol
_atom_site_fract_x
_atom_site_fract_y
_atom_site_fract_z
_atom_site_occupancy
Ba1 Ba 0.2500 0.2500 0.2431 1
Cd1 Cd 0.2500 0.2500 0.6338 1
Sn1 Sn 0.2500 0.2500 0.8695 1
Sn2 Sn 0.2500 0.7500 0.5000 1
Hg1 Hg 0.2500 0.7500 0.0000 1

***

# 3
# BaYMgAu | OQMD | PBE | optimized geometry
# **Density**: 6.3 g/cm3
# **Raw total energy**: -3.52 eV per atom
data_BaYMgAu
_space_group_name_H-M_alt 'F -4 3 m'
_space_group_IT_number 216
_space_group_name_Hall 'F -4 2 3'
_cell_length_a 7.7890
_cell_length_b 7.7890
_cell_length_c 7.7890
_cell_angle_alpha 90.00
_cell_angle_beta 90.00
_cell_angle_gamma 90.00
loop_
_atom_site_label
_atom_site_type_symbol
_atom_site_fract_x
_atom_site_fract_y
_atom_site_fract_z
_atom_site_occupancy
Ba1 Ba 0.0000 0.0000 0.0000 1
Y1 Y 0.0000 0.0000 0.5000 1
Mg1 Mg 0.2500 0.2500 0.2500 1
Au1 Au 0.2500 0.2500 0.7500 1

***

# 4
# BeHgIr | OQMD | PBE | optimized geometry
# **Density**: 14.6 g/cm3
# **Raw total energy**: -4.11 eV per atom
data_BeHgIr
_space_group_name_H-M_alt 'F -4 3 m'
_space_group_IT_number 216
_space_group_name_Hall 'F -4 2 3'
_cell_length_a 5.6787
_cell_length_b 5.6787
_cell_length_c 5.6787
_cell_angle_alpha 90.00
_cell_angle_beta 90.00
_cell_angle_gamma 90.00
loop_
_atom_site_label
_atom_site_type_symbol
_atom_site_fract_x
_atom_site_fract_y
_atom_site_fract_z
_atom_site_occupancy
Be1 Be 0.0000 0.0000 0.0000 1
Hg1 Hg 0.2500 0.2500 0.7500 1
Ir1 Ir 0.2500 0.2500 0.2500 1